[1]
Density functional theory data (GGA-PBE) for an optimized crystal structure of Ce2HfHg.

Structure (CIF):
```
data_Ce2HfHg
_chemical_formula_sum 'Ce2 Hf1 Hg1'
_space_group_name_H-M_alt 'P 1'
_space_group_IT_number 1
_space_group_name_Hall 'P 1'
_cell_length_a 3.2067
_cell_length_b 3.2067
_cell_length_c 9.8759
_cell_angle_alpha 90.00
_cell_angle_beta 90.00
_cell_angle_gamma 90.00
loop_
_atom_site_label
_atom_site_fract_x
_atom_site_fract_y
_atom_site_fract_z
Hg1 0.5000 0.5000 0.0000
Hf1 0.5000 0.5000 0.5000
Ce1 0.0000 0.0000 0.7489
Ce2 0.0000 0.0000 0.2511
```

Computed properties:
Offset from the most stable computed form: 0.0 kJ/mol of atoms
Energy relative to the elements: -0.240 eV per formula unit
D(E_F): 8.93 states/eV per cell

***

[2]
Density functional theory data (GGA-PBE) for an optimized crystal structure of RePtCl2.

Structure (CIF):
```
data_RePtCl2
_chemical_formula_sum 'Re1 Pt1 Cl2'
_space_group_name_H-M_alt 'P 1'
_space_group_IT_number 1
_space_group_name_Hall 'P 1'
_cell_length_a 3.1495
_cell_length_b 2.9528
_cell_length_c 8.6233
_cell_angle_alpha 91.25
_cell_angle_beta 90.00
_cell_angle_gamma 90.00
loop_
_atom_site_label
_atom_site_fract_x
_atom_site_fract_y
_atom_site_fract_z
Pt1 0.0000 0.3690 0.5357
Re1 0.5000 0.8810 0.7216
Cl1 0.0000 0.8945 0.9271
Cl2 0.5000 0.3555 0.3156
```

Computed properties:
Offset from the most stable computed form: 0.0 kJ/mol of atoms
Formation energy without anion corrections: 0.0195 eV per atom
D(E_F): 2.79 states/eV per cell

***

[3]
Density functional theory data (GGA-PBE) for an optimized crystal structure of GdCoCuSn.

Structure (CIF):
```
data_GdCoCuSn
_chemical_formula_sum 'Gd1 Co1 Cu1 Sn1'
_space_group_name_H-M_alt 'P 1'
_space_group_IT_number 1
_space_group_name_Hall 'P 1'
_cell_length_a 4.6611
_cell_length_b 4.6611
_cell_length_c 4.6611
_cell_angle_alpha 60.00
_cell_angle_beta 60.00
_cell_angle_gamma 60.00
loop_
_atom_site_label
_atom_site_fract_x
_atom_site_fract_y
_atom_site_fract_z
Co1 0.0000 0.0000 0.0000
Cu1 0.5000 0.5000 0.5000
Gd1 0.7500 0.7500 0.7500
Sn1 0.2500 0.2500 0.2500
```

Computed properties:
Energy relative to the elements: -0.902 eV per formula unit
D(E_F): 4.12 states/eV per cell

***

Question: Among the records above, which one has the lowest D(E_F)?
Answer: RePtCl2

***

Question: What is the D(E_F) in the second record?
Answer: 2.79 states/eV per cell

***

Question: The highest D(E_F) belongs to which entry?
Answer: Ce2HfHg